Entry from Alexandria: a geometry-optimized MgTeSe2 structure (PBE).

calculated total energy = -3.35 eV/atom
raw formation energy = -0.42 eV per atom
total magnetization = 0.00 μB/f.u.

a b c (Å): 3.8980 3.8980 25.0051
angles (deg): 90.00 90.00 120.00
Space group R-3m (No. 166, hexagonal axes)
Unique sites:
Mg1 0.0000 0.0000 0.0000 (multiplicity 3)
Te1 0.0000 0.0000 0.5000 (multiplicity 3)
Se1 0.0000 0.0000 0.3933 (multiplicity 6)

***

Entry from Alexandria: a geometry-optimized CeTeRhO6 structure (PBE).

calculated total energy = -6.73 eV/atom
raw formation energy = -1.60 eV per atom
total magnetization = 0.00 μB/f.u.

a b c (Å): 4.9839 4.9839 9.7963
angles (deg): 90.00 90.00 90.00
Space group P4_2nm (No. 102)
Unique sites:
Ce1 0.0000 0.0000 0.0000 (multiplicity 2)
Te1 0.0000 0.0000 0.6634 (multiplicity 2)
Rh1 0.0000 0.0000 0.3277 (multiplicity 2)
O1 0.1782 0.1782 0.4929 (multiplicity 4)
O2 0.2029 0.2029 0.8174 (multiplicity 4)
O3 0.2035 0.2035 0.1713 (multiplicity 4)

***

Entry from Alexandria: a geometry-optimized YTe2Mo structure (PBE).

calculated total energy = -6.23 eV/atom
raw formation energy = -0.33 eV per atom
total magnetization = 0.00 μB/f.u.

a b c (Å): 8.1783 3.8638 6.4334
angles (deg): 90.00 105.94 90.00
Space group C2/m (No. 12)
Unique sites:
Y1 0.0000 0.0000 0.0000 (multiplicity 2)
Te1 0.2401 0.0000 0.7110 (multiplicity 4)
Mo1 0.0000 0.5000 0.5000 (multiplicity 2)